# 1
Here is an optimized crystal structure of WC3 from the Alexandria database. Energies are from GGA-PBE.

a = 3.849 Å, b = 4.496 Å, c = 4.070 Å
α = 90.00°, β = 90.00°, γ = 90.00°
Space group Pmmn (No. 59, origin choice 2)
Inequivalent atoms, fractional coordinates:
1 W 0.250 0.250 0.164 (multiplicity 2)
2 C 0.250 0.596 0.519 (multiplicity 4)
3 C 0.250 0.750 0.148 (multiplicity 2)

## Properties
The calculation puts the formation energy at 1.517 eV/atom. For the energy relative to the lowest polymorph listed for this composition, the calculation gives 555 meV per atom.

***

# 2
Here is an optimized crystal structure of WC from the Alexandria database. Energies are from GGA-PBE.

a = 4.276 Å, b = 4.276 Å, c = 4.216 Å
α = 90.00°, β = 90.00°, γ = 90.00°
Space group P4/mmm (No. 123)
Inequivalent atoms, fractional coordinates:
1 W 0.000 0.000 0.000 (multiplicity 1)
2 W 0.000 0.500 0.500 (multiplicity 2)
3 C 0.000 0.000 0.500 (multiplicity 1)
4 C 0.000 0.500 0.000 (multiplicity 2)

## Properties
The calculation puts the formation energy at 0.676 eV/atom. For the energy relative to the lowest polymorph listed for this composition, the calculation gives 804 meV per atom.

***

no.,size of the total moment (μB/cell),DFT total energy (eV/atom)
1,0.0,-8.64
2,0.0,-10.41